Entry 1:
An optimized crystal structure of SrBeFe2, computed with PBEsol.

The space group is Cmmm (No. 65) and the conventional cell measures 5.455, 8.298 and 2.689 Å, with angles of 90.00, 90.00 and 90.00 degrees. The asymmetric unit holds Sr at (0.000, 0.000, 0.000), Be at (0.000, 0.500, 0.000) and Fe at (0.250, 0.250, 0.500).

The value obtained for the spin magnetization is 4.2 μB per formula unit. Its formation enthalpy at 0 K is 1095 meV/atom.

Entry 2:
An optimized crystal structure of Ta2Be2Fe, computed with PBEsol.

The space group is P4/mbm (No. 127) and the conventional cell measures 6.044, 6.044 and 3.294 Å, with angles of 90.00, 90.00 and 90.00 degrees. The asymmetric unit holds Ta at (0.177, 0.323, 0.000), Be at (0.123, 0.623, 0.500) and Fe at (0.000, 0.000, 0.500).

The value obtained for the spin magnetization is 0.3 μB per formula unit. Its formation enthalpy at 0 K is -220 meV/atom.

Entry 3:
An optimized crystal structure of TaBeFe, computed with PBEsol.

The space group is F-43m (No. 216) and the conventional cell measures 5.501, 5.501 and 5.501 Å, with angles of 90.00, 90.00 and 90.00 degrees. The asymmetric unit holds Ta at (0.000, 0.000, 0.000), Be at (0.000, 0.000, 0.500) and Fe at (0.250, 0.250, 0.250).

The value obtained for the spin magnetization is 0.0 μB per formula unit. Its formation enthalpy at 0 K is 426 meV/atom.

Entry 4:
An optimized crystal structure of TaBeFe2, computed with PBEsol.

The space group is Pm (No. 6) and the conventional cell measures 2.621, 3.928 and 4.684 Å, with angles of 90.00, 101.99 and 90.00 degrees. The asymmetric unit holds Ta at (0.000, 0.000, 0.000), Be at (0.626, 0.500, 0.263), Fe at (0.269, 0.500, 0.706) and Fe at (0.540, 0.000, 0.494).

The value obtained for the spin magnetization is 2.6 μB per formula unit. Its formation enthalpy at 0 K is 43 meV/atom.

Entry 5:
An optimized crystal structure of TaBeFe2, computed with PBEsol.

The space group is Imm2 (No. 44) and the conventional cell measures 3.036, 3.830 and 7.965 Å, with angles of 90.00, 90.00 and 90.00 degrees. The asymmetric unit holds Ta at (0.000, 0.000, 0.000), Be at (0.000, 0.500, 0.234), Fe at (0.000, 0.000, 0.503) and Fe at (0.000, 0.500, 0.755).

The value obtained for the spin magnetization is 1.8 μB per formula unit. Its formation enthalpy at 0 K is -51 meV/atom.

Entry 6:
An optimized crystal structure of TaBe4Fe, computed with PBEsol.

The space group is F-43m (No. 216) and the conventional cell measures 6.112, 6.112 and 6.112 Å, with angles of 90.00, 90.00 and 90.00 degrees. The asymmetric unit holds Ta at (0.000, 0.000, 0.000), Be at (0.125, 0.125, 0.625) and Fe at (0.250, 0.250, 0.250).

The value obtained for the spin magnetization is 0.0 μB per formula unit. Its formation enthalpy at 0 K is -243 meV/atom.

Entry 7:
An optimized crystal structure of Be2FeTc, computed with PBEsol.

The space group is I-4m2 (No. 119) and the conventional cell measures 3.851, 3.851 and 5.422 Å, with angles of 90.00, 90.00 and 90.00 degrees. The asymmetric unit holds Be at (0.000, 0.000, 0.000), Be at (0.000, 0.500, 0.250), Fe at (0.000, 0.000, 0.500) and Tc at (0.000, 0.500, 0.750).

The value obtained for the spin magnetization is 0.0 μB per formula unit. Its formation enthalpy at 0 K is -97 meV/atom.

Entry 8:
An optimized crystal structure of BeFeTc, computed with PBEsol.

The space group is P3m1 (No. 156) and the conventional cell measures 2.5747, 2.5747 and 5.8442 Å, with angles of 90.00, 90.00 and 120.00 degrees. The asymmetric unit holds Be at (0.0000, 0.0000, 0.0000), Fe at (0.3333, 0.6667, 0.6914) and Tc at (0.6667, 0.3333, 0.3509).

The value obtained for the spin magnetization is 0.9 μB per formula unit. The calculation puts the distance to the lowest polymorph of the same formula at 310.6 meV per atom. Its formation enthalpy at 0 K is 138 meV/atom.

Entry 9:
An optimized crystal structure of BeFe2Tc, computed with PBEsol.

The space group is P4mm (No. 99) and the conventional cell measures 2.697, 2.697 and 5.747 Å, with angles of 90.00, 90.00 and 90.00 degrees. The asymmetric unit holds Be at (0.000, 0.000, 0.000), Fe at (0.000, 0.000, 0.444), Fe at (0.500, 0.500, 0.202) and Tc at (0.500, 0.500, 0.734).

The value obtained for the spin magnetization is 2.3 μB per formula unit. Its formation enthalpy at 0 K is -15 meV/atom.

Entry 10:
An optimized crystal structure of BeFe2Tc, computed with PBEsol.

The space group is P4/mmm (No. 123) and the conventional cell measures 2.629, 2.629 and 5.949 Å, with angles of 90.00, 90.00 and 90.00 degrees. The asymmetric unit holds Be at (0.000, 0.000, 0.000), Fe at (0.500, 0.500, 0.216) and Tc at (0.000, 0.000, 0.500).

The value obtained for the spin magnetization is 1.2 μB per formula unit. Its formation enthalpy at 0 K is -70 meV/atom.

Entry 11:
An optimized crystal structure of BeFe2Tc, computed with PBEsol.

The space group is I4/mmm (No. 139) and the conventional cell measures 3.387, 3.387 and 7.440 Å, with angles of 90.00, 90.00 and 90.00 degrees. The asymmetric unit holds Be at (0.000, 0.000, 0.000), Fe at (0.000, 0.500, 0.250) and Tc at (0.000, 0.000, 0.500).

The value obtained for the spin magnetization is 2.6 μB per formula unit. Its formation enthalpy at 0 K is 13 meV/atom.

Entry 12:
An optimized crystal structure of BeFeTc4, computed with PBEsol.

The space group is F-43m (No. 216) and the conventional cell measures 7.008, 7.008 and 7.008 Å, with angles of 90.00, 90.00 and 90.00 degrees. The asymmetric unit holds Be at (0.000, 0.000, 0.000), Fe at (0.250, 0.250, 0.250) and Tc at (0.125, 0.125, 0.625).

The value obtained for the spin magnetization is 3.0 μB per formula unit. Its formation enthalpy at 0 K is 619 meV/atom.

Entry 13:
An optimized crystal structure of BeFe2Tc, computed with PBEsol.

The space group is Cmmm (No. 65) and the conventional cell measures 4.833, 7.327 and 2.502 Å, with angles of 90.00, 90.00 and 90.00 degrees. The asymmetric unit holds Be at (0.000, 0.000, 0.000), Fe at (0.250, 0.250, 0.500) and Tc at (0.000, 0.500, 0.000).

The value obtained for the spin magnetization is 3.4 μB per formula unit. Its formation enthalpy at 0 K is 94 meV/atom.

Entry 14:
An optimized crystal structure of BeFe2Tc, computed with PBEsol.

The space group is Pmmm (No. 47) and the conventional cell measures 2.552, 3.464 and 4.819 Å, with angles of 90.00, 90.00 and 90.00 degrees. The asymmetric unit holds Be at (0.000, 0.000, 0.000), Fe at (0.500, 0.500, 0.226) and Tc at (0.000, 0.000, 0.500).

The value obtained for the spin magnetization is 1.7 μB per formula unit. Its formation enthalpy at 0 K is 22 meV/atom.

Entry 15:
An optimized crystal structure of BeFeTc, computed with PBEsol.

The space group is I4mm (No. 107) and the conventional cell measures 2.691, 2.691 and 8.640 Å, with angles of 90.00, 90.00 and 90.00 degrees. The asymmetric unit holds Be at (0.000, 0.000, 0.000), Fe at (0.000, 0.000, 0.639) and Tc at (0.000, 0.000, 0.318).

The value obtained for the spin magnetization is 0.0 μB per formula unit. The calculation puts the distance to the lowest polymorph of the same formula at 0.0 meV per atom. Its formation enthalpy at 0 K is -172 meV/atom.

Entry 16:
An optimized crystal structure of BeFeTcW2, computed with PBEsol.

The space group is P4/mmm (No. 123) and the conventional cell measures 4.617, 4.617 and 4.355 Å, with angles of 90.00, 90.00 and 90.00 degrees. The asymmetric unit holds Be at (0.000, 0.000, 0.000), Fe at (0.500, 0.500, 0.000), Tc at (0.500, 0.500, 0.500) and W at (0.000, 0.500, 0.500).

The value obtained for the spin magnetization is 1.8 μB per formula unit. Its formation enthalpy at 0 K is 2149 meV/atom.

Entry 17:
An optimized crystal structure of BeFeTe2, computed with PBEsol.

The space group is Amm2 (No. 38) and the conventional cell measures 4.394, 5.073 and 6.712 Å, with angles of 90.00, 90.00 and 90.00 degrees. The asymmetric unit holds Be at (0.000, 0.000, 0.000), Fe at (0.500, 0.000, 0.829), Te at (0.000, 0.000, 0.632) and Te at (0.500, 0.000, 0.208).

The value obtained for the uncorrected energy is -4.86 eV per atom. The value obtained for the spin magnetization is 1.8 μB per formula unit.

Entry 18:
An optimized crystal structure of BeFe2Te, computed with PBEsol.

The space group is Cm (No. 8) and the conventional cell measures 8.237, 3.149 and 4.026 Å, with angles of 90.00, 107.61 and 90.00 degrees. The asymmetric unit holds Be at (0.000, 0.000, 0.000), Fe at (0.012, 0.500, 0.565), Fe at (0.275, 0.000, 0.899) and Te at (0.264, 0.500, 0.364).

The value obtained for the uncorrected energy is -6.08 eV per atom. The value obtained for the spin magnetization is 2.4 μB per formula unit.

Entry 19:
An optimized crystal structure of BeFeTe2, computed with PBEsol.

The space group is P2/m (No. 10) and the conventional cell measures 3.871, 3.590 and 5.744 Å, with angles of 90.00, 102.99 and 90.00 degrees. The asymmetric unit holds Be at (0.000, 0.000, 0.000), Fe at (0.500, 0.000, 0.500) and Te at (0.238, 0.500, 0.759).

The value obtained for the uncorrected energy is -4.47 eV per atom. The value obtained for the spin magnetization is 2.8 μB per formula unit.

Entry 20:
An optimized crystal structure of BeFeTe2, computed with PBEsol.

The space group is F-43m (No. 216) and the conventional cell measures 6.749, 6.749 and 6.749 Å, with angles of 90.00, 90.00 and 90.00 degrees. The asymmetric unit holds Be at (0.000, 0.000, 0.000), Fe at (0.250, 0.250, 0.750), Te at (0.000, 0.000, 0.500) and Te at (0.250, 0.250, 0.250).

The value obtained for the uncorrected energy is -4.01 eV per atom. The value obtained for the spin magnetization is 2.6 μB per formula unit.